Here is crystalline CdNi at its relaxed geometry from the Alexandria database. Energies are from PBE.

Calculated values
* SG: I-43m, No. 217
* ΔE_f: 0.59 eV/atom

Lattice parameters (Å, degrees): 6.7206 6.7206 6.7206 109.47 109.47 109.47
Atoms (fractional coordinates):
Cd  0.0000  0.0000  0.4115
Cd  0.0000  0.4115  0.0000
Cd  0.4115  0.0000  0.0000
Cd  0.5885  0.5885  0.5885
Ni  0.0000  0.0000  0.7855
Ni  0.0000  0.7855  0.0000
Ni  0.2145  0.2145  0.2145
Ni  0.7855  0.0000  0.0000


Here is crystalline CsZrF5 at its relaxed geometry from the Alexandria database. Energies are from PBE.

Calculated values
* SG: C2/c, No. 15
* formation energy (no corrections): -24.5 eV/f.u.

Lattice parameters (Å, degrees): 7.4466 7.4466 8.4743 124.47 124.47 71.28
Atoms (fractional coordinates):
Cs  0.0027  0.9973  0.7500
Cs  0.9973  0.0027  0.2500
Zr  0.5000  0.5000  0.0000
Zr  0.5000  0.5000  0.5000
F  0.2679  0.2684  0.2693
F  0.2684  0.2679  0.7693
F  0.2680  0.7317  0.0067
F  0.2683  0.7320  0.4933
F  0.4916  0.5084  0.7500
F  0.5084  0.4916  0.2500
F  0.7317  0.2680  0.5067
F  0.7320  0.2683  0.9933
F  0.7316  0.7321  0.2307
F  0.7321  0.7316  0.7307


Here is crystalline YThMnCu at its relaxed geometry from the Alexandria database. Energies are from PBE.

Calculated values
* SG: F-43m, No. 216
* ΔE_f: 0.06 eV/atom

Lattice parameters (Å, degrees): 4.9868 4.9868 4.9868 60.00 60.00 60.00
Atoms (fractional coordinates):
Y  0.0000  0.0000  0.0000
Th  0.5000  0.5000  0.5000
Mn  0.2500  0.2500  0.2500
Cu  0.7500  0.7500  0.7500


Here is crystalline PmNpSbO6 at its relaxed geometry from the Alexandria database. Energies are from PBE.

Calculated values
* SG: P-31c, No. 163
* formation energy (no corrections): -21.9 eV/f.u.

Lattice parameters (Å, degrees): 5.8792 5.8792 9.1965 90.00 90.00 120.00
Atoms (fractional coordinates):
Pm  0.3333  0.6667  0.2500
Pm  0.6667  0.3333  0.7500
Np  0.3333  0.6667  0.7500
Np  0.6667  0.3333  0.2500
Sb  0.0000  0.0000  0.0000
Sb  0.0000  0.0000  0.5000
O  0.0358  0.3604  0.6304
O  0.0358  0.6754  0.8696
O  0.3246  0.3604  0.8696
O  0.3246  0.9642  0.6304
O  0.3604  0.0358  0.1304
O  0.3604  0.3246  0.3696
O  0.6396  0.6754  0.6304
O  0.6396  0.9642  0.8696
O  0.6754  0.0358  0.3696
O  0.6754  0.6396  0.1304
O  0.9642  0.3246  0.1304
O  0.9642  0.6396  0.3696


no.,electronic total energy (eV/atom)
1,-2.76
2,-6.18
3,-6.73
4,-8.17